[1]
The following is a PBE calculation of crystalline Na2GaPbBr at its relaxed geometry, from Alexandria via LeMat-Bulk.

uncorrected formation energy = -0.180 eV/atom
E_tot = -2.39 eV per atom

a b c (Å): 5.419 5.419 6.161
angles (deg): 90.00 90.00 90.00
Space group P4/mmm (No. 123)
One atom of each set of equivalent atoms:
Na (0.000, 0.500, 0.000) (multiplicity 2)
Ga (0.000, 0.000, 0.500) (multiplicity 1)
Pb (0.500, 0.500, 0.500) (multiplicity 1)
Br (0.000, 0.000, 0.000) (multiplicity 1)

***

[2]
The following is a PBE calculation of crystalline NaPmGa2Br6 at its relaxed geometry, from Alexandria via LeMat-Bulk.

uncorrected formation energy = -1.274 eV/atom
E_tot = -3.49 eV per atom

a b c (Å): 7.486 8.163 13.022
angles (deg): 90.00 122.70 90.00
Space group P2_1/c (No. 14)
One atom of each set of equivalent atoms:
Na (0.000, 0.000, 0.000) (multiplicity 2)
Pm (0.500, 0.000, 0.500) (multiplicity 2)
Ga (0.193, 0.090, 0.711) (multiplicity 4)
Br (0.131, 0.178, 0.455) (multiplicity 4)
Br (0.240, 0.708, 0.418) (multiplicity 4)
Br (0.394, 0.057, 0.254) (multiplicity 4)

***

[3]
The following is a PBE calculation of crystalline Na2PuGaBr6 at its relaxed geometry, from Alexandria via LeMat-Bulk.

uncorrected formation energy = -1.331 eV/atom
E_tot = -4.33 eV per atom

a b c (Å): 7.5161 7.5161 20.7890
angles (deg): 90.00 90.00 120.00
Space group R3 (No. 146, hexagonal axes)
One atom of each set of equivalent atoms:
Na (0.0000, 0.0000, 0.0000) (multiplicity 3)
Na (0.0000, 0.0000, 0.4906) (multiplicity 3)
Pu (0.0000, 0.0000, 0.6838) (multiplicity 3)
Ga (0.0000, 0.0000, 0.1935) (multiplicity 3)
Br (0.0133, 0.7099, 0.5947) (multiplicity 9)
Br (0.0217, 0.3351, 0.7577) (multiplicity 9)

***

[4]
The following is a PBE calculation of crystalline RbNa2GaBr at its relaxed geometry, from Alexandria via LeMat-Bulk.

uncorrected formation energy = -0.307 eV/atom
E_tot = -1.97 eV per atom

a b c (Å): 5.688 5.688 6.351
angles (deg): 90.00 90.00 90.00
Space group P4/mmm (No. 123)
One atom of each set of equivalent atoms:
Rb (0.000, 0.000, 0.000) (multiplicity 1)
Na (0.000, 0.500, 0.500) (multiplicity 2)
Ga (0.500, 0.500, 0.500) (multiplicity 1)
Br (0.500, 0.500, 0.000) (multiplicity 1)

***

[5]
The following is a PBE calculation of crystalline Rb2NaGaBr at its relaxed geometry, from Alexandria via LeMat-Bulk.

uncorrected formation energy = -0.380 eV/atom
E_tot = -1.97 eV per atom

a b c (Å): 6.656 6.656 5.604
angles (deg): 90.00 90.00 90.00
Space group P4/mmm (No. 123)
One atom of each set of equivalent atoms:
Rb (0.000, 0.500, 0.000) (multiplicity 2)
Na (0.000, 0.000, 0.500) (multiplicity 1)
Ga (0.500, 0.500, 0.500) (multiplicity 1)
Br (0.000, 0.000, 0.000) (multiplicity 1)

***

[6]
The following is a PBE calculation of crystalline RbNaGa2Br at its relaxed geometry, from Alexandria via LeMat-Bulk.

uncorrected formation energy = -0.081 eV/atom
E_tot = -2.08 eV per atom

a b c (Å): 5.523 5.523 5.969
angles (deg): 90.00 90.00 90.00
Space group P4/mmm (No. 123)
One atom of each set of equivalent atoms:
Rb (0.000, 0.000, 0.000) (multiplicity 1)
Na (0.500, 0.500, 0.500) (multiplicity 1)
Ga (0.000, 0.500, 0.500) (multiplicity 2)
Br (0.500, 0.500, 0.000) (multiplicity 1)